(1)
{"formula": "Nd6Sm2HoEr", "functional": "GGA-PBE", "state": "optimized geometry", "cell": [[9.3001, -2.0557, -2.1333], [0.7697, 8.7056, -2.0619], [0.7697, -2.3832, 8.6232]], "species": ["Nd", "Nd", "Nd", "Nd", "Nd", "Nd", "Nd", "Nd", "Nd", "Nd", "Nd", "Nd", "Sm", "Sm", "Sm", "Sm", "Ho", "Ho", "Er", "Er"], "fractional_positions": [[0.0543, 0.1206, 0.7579], [0.4457, 0.2421, 0.8794], [0.9457, 0.8794, 0.2421], [0.5543, 0.7579, 0.1206], [0.3107, 0.9873, 0.4301], [0.1893, 0.5699, 0.0127], [0.6893, 0.0127, 0.5699], [0.8107, 0.4301, 0.9873], [0.1186, 0.7085, 0.4962], [0.3814, 0.5038, 0.2915], [0.8814, 0.2915, 0.5038], [0.6186, 0.4962, 0.7085], [0.4563, 0.8022, 0.7026], [0.0437, 0.2974, 0.1978], [0.5437, 0.1978, 0.2974], [0.9563, 0.7026, 0.8022], [0.2500, 0.9767, 0.0233], [0.7500, 0.0233, 0.9767], [0.2500, 0.4097, 0.5903], [0.7500, 0.5903, 0.4097]], "space_group": "C2/c, No. 15"}

***

(2)
{"formula": "NdSmHo5Er2", "functional": "GGA-PBE", "state": "optimized geometry", "cell": [[8.9652, 0.0000, 0.0000], [0.0000, 8.9652, 0.0000], [-4.4826, -4.4826, 7.2692]], "species": ["Nd", "Nd", "Sm", "Sm", "Ho", "Ho", "Ho", "Ho", "Ho", "Ho", "Ho", "Ho", "Ho", "Ho", "Er", "Er", "Er", "Er"], "fractional_positions": [[0.2500, 0.2500, 0.5000], [0.7500, 0.7500, 0.5000], [0.2500, 0.7500, 0.5000], [0.7500, 0.2500, 0.5000], [0.9273, 0.4273, 0.2604], [0.6669, 0.1669, 0.7396], [0.0727, 0.5727, 0.7396], [0.1669, 0.0727, 0.7396], [0.5727, 0.6669, 0.7396], [0.8331, 0.9273, 0.2604], [0.4273, 0.3331, 0.2604], [0.3331, 0.8331, 0.2604], [0.5000, 0.5000, 0.0000], [0.0000, 0.0000, 0.0000], [0.1121, 0.3879, 0.0000], [0.6121, 0.1121, 0.0000], [0.3879, 0.8879, 0.0000], [0.8879, 0.6121, 0.0000]], "space_group": "I4/mcm, No. 140"}

***

(3)
{"formula": "Nd2SmHoEr4", "functional": "GGA-PBE", "state": "optimized geometry", "cell": [[-0.2306, -6.7453, -6.6901], [-4.3819, -6.0483, 5.8758], [-1.7628, 11.6109, -1.2263]], "species": ["Nd", "Nd", "Nd", "Nd", "Sm", "Sm", "Ho", "Ho", "Er", "Er", "Er", "Er", "Er", "Er", "Er", "Er"], "fractional_positions": [[0.5000, 0.0000, 0.0000], [0.5000, 0.0000, 0.5000], [0.0000, 0.0000, 0.5000], [0.5000, 0.5000, 0.0000], [0.0000, 0.5000, 0.0000], [0.0000, 0.5000, 0.5000], [0.5000, 0.5000, 0.5000], [0.0000, 0.0000, 0.0000], [0.2456, 0.7535, 0.9995], [0.7465, 0.2544, 0.5005], [0.2535, 0.7456, 0.4995], [0.7544, 0.2465, 0.0005], [0.7500, 0.7496, 0.9958], [0.7504, 0.7500, 0.5042], [0.2496, 0.2500, 0.4958], [0.2500, 0.2504, 0.0042]], "space_group": "Imma, No. 74"}

***

(4)
{"formula": "Nd2Sm6HoEr", "functional": "GGA-PBE", "state": "optimized geometry", "cell": [[-5.8631, -7.0901, 3.3408], [7.0949, -5.3140, -0.8335], [-0.6878, 4.9777, 7.3499]], "species": ["Nd", "Nd", "Nd", "Nd", "Sm", "Sm", "Sm", "Sm", "Sm", "Sm", "Sm", "Sm", "Sm", "Sm", "Sm", "Sm", "Ho", "Ho", "Er", "Er"], "fractional_positions": [[0.4580, 0.8049, 0.7024], [0.0420, 0.2976, 0.1951], [0.5420, 0.1951, 0.2976], [0.9580, 0.7024, 0.8049], [0.0560, 0.1245, 0.7511], [0.4440, 0.2489, 0.8755], [0.9440, 0.8755, 0.2489], [0.5560, 0.7511, 0.1245], [0.3111, 0.9821, 0.4250], [0.1889, 0.5750, 0.0179], [0.6889, 0.0179, 0.5750], [0.8111, 0.4250, 0.9821], [0.1198, 0.7089, 0.4992], [0.3802, 0.5008, 0.2911], [0.8802, 0.2911, 0.5008], [0.6198, 0.4992, 0.7089], [0.2500, 0.9806, 0.0194], [0.7500, 0.0194, 0.9806], [0.2500, 0.4078, 0.5922], [0.7500, 0.5922, 0.4078]], "space_group": "C2/c, No. 15"}

***

(5)
{"formula": "NdSm6Ho2Er3", "functional": "GGA-PBE", "state": "optimized geometry", "cell": [[-0.8448, -3.2373, -5.2365], [5.7242, 0.7439, 2.3013], [-2.8592, -8.9369, 7.2120]], "species": ["Nd", "Sm", "Sm", "Sm", "Sm", "Sm", "Sm", "Ho", "Ho", "Er", "Er", "Er"], "fractional_positions": [[0.0000, 0.0000, 0.0000], [0.9157, 0.5815, 0.7478], [0.7503, 0.7503, 0.2521], [0.0843, 0.4185, 0.2522], [0.5815, 0.9157, 0.7478], [0.2497, 0.2497, 0.7479], [0.4185, 0.0843, 0.2522], [0.3334, 0.6666, 0.0000], [0.6666, 0.3334, 0.0000], [0.1669, 0.8331, 0.5000], [0.8331, 0.1669, 0.5000], [0.5000, 0.5000, 0.5000]], "space_group": "C2/m, No. 12"}

***

(6)
{"formula": "NdSm2Ho6Er3", "functional": "GGA-PBE", "state": "optimized geometry", "cell": [[6.1481, 0.0016, 0.0096], [-3.0712, 5.3261, 0.0096], [-1.0400, -1.8008, 11.5629]], "species": ["Nd", "Sm", "Sm", "Ho", "Ho", "Ho", "Ho", "Ho", "Ho", "Er", "Er", "Er"], "fractional_positions": [[0.0000, 0.0000, 0.0000], [0.3333, 0.6667, 0.0000], [0.6667, 0.3333, 0.0000], [0.9149, 0.5814, 0.7462], [0.7515, 0.7515, 0.2537], [0.0851, 0.4186, 0.2538], [0.5814, 0.9149, 0.7462], [0.2485, 0.2485, 0.7463], [0.4186, 0.0851, 0.2538], [0.1667, 0.8333, 0.5000], [0.8333, 0.1667, 0.5000], [0.5000, 0.5000, 0.5000]], "space_group": "C2/m, No. 12"}

***

(7)
{"formula": "Nd6SmHoEr2", "functional": "GGA-PBE", "state": "optimized geometry", "cell": [[-5.2643, -7.9866, 1.2771], [-1.3925, 0.2024, -8.8378], [7.5611, -3.8259, 2.8774]], "species": ["Nd", "Nd", "Nd", "Nd", "Nd", "Nd", "Nd", "Nd", "Nd", "Nd", "Nd", "Nd", "Sm", "Sm", "Ho", "Ho", "Er", "Er", "Er", "Er"], "fractional_positions": [[0.0550, 0.1148, 0.7611], [0.4450, 0.2389, 0.8852], [0.9450, 0.8852, 0.2389], [0.5550, 0.7611, 0.1148], [0.3138, 0.9921, 0.4383], [0.1862, 0.5617, 0.0079], [0.6862, 0.0079, 0.5617], [0.8138, 0.4383, 0.9921], [0.1176, 0.7063, 0.4866], [0.3824, 0.5134, 0.2937], [0.8824, 0.2937, 0.5134], [0.6176, 0.4866, 0.7063], [0.2500, 0.9709, 0.0291], [0.7500, 0.0291, 0.9709], [0.2500, 0.4111, 0.5889], [0.7500, 0.5889, 0.4111], [0.4522, 0.7980, 0.7011], [0.0478, 0.2989, 0.2020], [0.5478, 0.2020, 0.2989], [0.9522, 0.7011, 0.7980]], "space_group": "C2/c, No. 15"}

***

(8)
{"formula": "NdSm2Ho3Er6", "functional": "GGA-PBE", "state": "optimized geometry", "cell": [[6.1411, 0.0014, 0.0096], [-3.0679, 5.3199, 0.0096], [-1.0387, -1.7985, 11.5294]], "species": ["Nd", "Sm", "Sm", "Ho", "Ho", "Ho", "Er", "Er", "Er", "Er", "Er", "Er"], "fractional_positions": [[0.0000, 0.0000, 0.0000], [0.3333, 0.6667, 0.0000], [0.6667, 0.3333, 0.0000], [0.1667, 0.8333, 0.5000], [0.8333, 0.1667, 0.5000], [0.5000, 0.5000, 0.5000], [0.9149, 0.5814, 0.7469], [0.7515, 0.7515, 0.2531], [0.0851, 0.4186, 0.2531], [0.5814, 0.9149, 0.7469], [0.2485, 0.2485, 0.7469], [0.4186, 0.0851, 0.2531]], "space_group": "C2/m, No. 12"}

***

In states/eV/cell, the density of states at the Fermi level values for the records above are, in order, 28.51; 24.34; 37.00; 28.33; 14.40; 16.02; 29.12; 15.83.
In eV per atom, the formation energy from the elements values for the records above are, in order, 0.115; 0.290; 0.424; 0.116; 0.016; 0.020; 0.115; 0.020.